<a>
Entry from the Alexandria database: a geometry-optimized Y2ZnSe structure (PBEsol).

Properties
* total magnetic moment: 0.0 μB/cell
* space-group type: No. 44

a = 7.7361 Å, b = 7.7361 Å, c = 7.7361 Å
α = 153.31°, β = 152.06°, γ = 39.02°
Last column: nearest neighbours and their distance in Å.
Atoms (fractional coordinates):
1 Y 0.0000 0.0000 0.0000  2 Se 2.92, 4 Zn 2.92
2 Y 0.7473 0.2473 0.5000  4 Se 2.89, 2 Zn 2.99
3 Zn 0.4071 0.4071 0.0000  6 Y 2.92-2.99
4 Se 0.1580 0.6580 0.5000  6 Y 2.89-2.92

---

<b>
Entry from the Alexandria database: a geometry-optimized Y2ZnSe structure (PBEsol).

Properties
* total magnetic moment: 0.0 μB/cell
* space-group type: No. 166

a = 7.4907 Å, b = 7.4907 Å, c = 7.4907 Å
α = 30.23°, β = 30.23°, γ = 30.23°
Last column: nearest neighbours and their distance in Å.
Atoms (fractional coordinates):
1 Y 0.2469 0.2469 0.2469  3 Se 2.84, 3 Zn 2.92
2 Y 0.7531 0.7531 0.7531  3 Se 2.84, 3 Zn 2.92
3 Zn 0.0000 0.0000 0.0000  6 Y 2.92
4 Se 0.5000 0.5000 0.5000  6 Y 2.84

---

<c>
Entry from the Alexandria database: a geometry-optimized Y2ZnSe structure (PBEsol).

Properties
* total magnetic moment: 0.0 μB/cell
* space-group type: No. 123

a = 4.0490 Å, b = 4.0490 Å, c = 5.7596 Å
α = 90.00°, β = 90.00°, γ = 90.00°
Last column: nearest neighbours and their distance in Å.
Atoms (fractional coordinates):
1 Y 0.0000 0.0000 0.0000  4 Se 2.86, 2 Zn 2.88
2 Y 0.5000 0.5000 0.5000  4 Zn 2.86, 2 Se 2.88
3 Zn 0.0000 0.0000 0.5000  6 Y 2.86-2.88
4 Se 0.5000 0.5000 0.0000  6 Y 2.86-2.88

---

<b> (3.7 kJ/mol of atoms below the next structure)